{"formula": "DyTm2Pb", "functional": "PBE", "state": "relaxed", "lattice_angstrom": [[-1.220, 0.336, 3.384], [0.644, -3.507, 0.581], [8.384, 2.008, 2.824]], "species": ["Pb", "Tm", "Tm", "Dy"], "fractional_positions": [[0.500, 0.500, 0.000], [0.000, 0.000, 0.764], [0.000, 0.000, 0.236], [0.500, 0.500, 0.500]], "magnetic_moment_mub_per_cell": 0.00, "total_energy_ev_per_cell": -18.06, "relative_energy_mev_per_atom": 85, "dos_at_fermi_per_ev_atom": 0.957, "delta_e_f_ev_per_atom": -0.202, "sg": "P4/mmm"}


{"formula": "Cd2SnRhN", "functional": "PBE", "state": "relaxed", "lattice_angstrom": [[5.471, 0.000, 0.000], [0.000, 3.658, 0.000], [0.000, 0.000, 5.471]], "species": ["N", "Rh", "Sn", "Cd", "Cd"], "fractional_positions": [[0.000, 0.500, 0.000], [0.000, 0.000, 0.000], [0.500, 0.500, 0.500], [0.000, 0.000, 0.500], [0.500, 0.000, 0.000]], "formation_energy_uncorrected_ev_per_atom": 0.3515, "magnetic_moment_mub_per_cell": 0.00, "total_energy_ev_per_cell": -19.75, "dos_at_fermi_per_ev_atom": 0.630, "sg": "P4/mmm"}


{"formula": "Zr4PC", "functional": "PBE", "state": "relaxed", "lattice_angstrom": [[6.130, 0.000, -0.224], [0.000, 6.044, 0.000], [-0.316, 0.000, 5.982]], "species": ["Zr", "Zr", "Zr", "Zr", "Zr", "Zr", "Zr", "Zr", "P", "P", "C", "C"], "fractional_positions": [[0.881, 0.636, 0.160], [0.619, 0.136, 0.840], [0.325, 0.343, 0.378], [0.175, 0.843, 0.622], [0.119, 0.364, 0.840], [0.381, 0.864, 0.160], [0.675, 0.657, 0.622], [0.825, 0.157, 0.378], [0.000, 0.000, 0.000], [0.500, 0.500, 0.000], [0.500, 0.000, 0.500], [0.000, 0.500, 0.500]], "magnetic_moment_mub_per_cell": 0.00, "total_energy_ev_per_cell": -105.03, "dos_at_fermi_per_ev_atom": 0.740, "delta_e_f_ev_per_atom": -0.615, "sg": "P2_1/c"}


{"formula": "PaFe4Os", "functional": "PBE", "state": "relaxed", "lattice_angstrom": [[-3.473, -0.251, -3.507], [-4.695, -0.926, 1.233], [-3.401, 3.567, -0.369]], "species": ["Pa", "Os", "Fe", "Fe", "Fe", "Fe"], "fractional_positions": [[0.250, 0.250, 0.250], [0.000, 0.000, 0.000], [0.626, 0.626, 0.123], [0.626, 0.123, 0.626], [0.626, 0.626, 0.626], [0.123, 0.626, 0.626]], "magnetic_moment_mub_per_cell": 9.05, "total_energy_ev_per_cell": -54.51, "dos_at_fermi_per_ev_atom": 1.341, "delta_e_f_ev_per_atom": 0.011, "sg": "F-43m"}


{"formula": "Be2NiHg", "functional": "PBE", "state": "relaxed", "lattice_angstrom": [[-1.105, 0.743, -3.633], [-3.693, -0.557, 1.009], [-0.271, 3.098, 0.716]], "species": ["Ni", "Hg", "Be", "Be"], "fractional_positions": [[0.000, 0.500, 0.500], [0.500, 0.000, 0.500], [0.000, 0.000, 0.000], [0.500, 0.500, 0.000]], "magnetic_moment_mub_per_cell": 0.00, "total_energy_ev_per_cell": -12.92, "dos_at_fermi_per_ev_atom": 0.368, "delta_e_f_ev_per_atom": 0.155, "sg": "P4/mmm"}


{"formula": "K3MnI5", "functional": "PBE", "state": "relaxed", "lattice_angstrom": [[8.848, 0.000, -4.175], [-1.970, 8.626, -4.175], [-0.406, -0.509, 10.603]], "species": ["K", "K", "K", "K", "K", "K", "Mn", "Mn", "I", "I", "I", "I", "I", "I", "I", "I", "I", "I"], "fractional_positions": [[0.250, 0.250, 0.500], [0.750, 0.750, 0.500], [0.157, 0.343, 0.000], [0.843, 0.657, 0.000], [0.657, 0.157, 0.000], [0.343, 0.843, 0.000], [0.250, 0.750, 0.500], [0.750, 0.250, 0.500], [0.500, 0.500, 0.000], [0.000, 0.000, 0.000], [0.201, 0.004, 0.706], [0.504, 0.701, 0.706], [0.701, 0.201, 0.706], [0.004, 0.504, 0.706], [0.799, 0.996, 0.294], [0.496, 0.299, 0.294], [0.299, 0.799, 0.294], [0.996, 0.496, 0.294]], "formation_energy_uncorrected_ev_per_atom": -1.1139, "magnetic_moment_mub_per_cell": 9.92, "total_energy_ev_per_cell": -60.48, "dos_at_fermi_per_ev_atom": 0.000, "sg": "I4/mcm"}


{"formula": "K2NaTeI", "functional": "PBE", "state": "relaxed", "lattice_angstrom": [[-1.915, 5.962, -2.248], [-6.353, -1.966, 0.199], [-0.420, 1.908, 5.419]], "species": ["I", "Na", "K", "K", "Te"], "fractional_positions": [[0.500, 0.500, 0.500], [0.000, 0.000, 0.500], [0.000, 0.500, 0.000], [0.500, 0.000, 0.000], [0.000, 0.000, 0.000]], "formation_energy_uncorrected_ev_per_atom": -1.0215, "magnetic_moment_mub_per_cell": 0.00, "total_energy_ev_per_cell": -13.31, "dos_at_fermi_per_ev_atom": 0.000, "sg": "P4/mmm"}


{"formula": "MgMn2Cl", "functional": "PBE", "state": "relaxed", "lattice_angstrom": [[-0.587, 4.644, -1.552], [0.621, -1.480, -4.663], [-3.011, -0.465, -0.253]], "species": ["Cl", "Mg", "Mn", "Mn"], "fractional_positions": [[0.500, 0.000, 0.500], [0.000, 0.500, 0.500], [0.000, 0.000, 0.000], [0.500, 0.500, 0.000]], "formation_energy_uncorrected_ev_per_atom": 0.4385, "magnetic_moment_mub_per_cell": 8.04, "total_energy_ev_per_cell": -20.03, "relative_energy_mev_per_atom": 562, "dos_at_fermi_per_ev_atom": 0.833, "sg": "P4/mmm"}


{"formula": "CsIrO2", "functional": "PBE", "state": "relaxed", "lattice_angstrom": [[-6.398, -0.311, 2.992], [-4.853, 2.238, 4.629], [-6.296, 2.790, 1.600]], "species": ["Cs", "Ir", "O", "O"], "fractional_positions": [[0.000, 0.000, 0.000], [0.500, 0.500, 0.500], [0.871, 0.871, 0.871], [0.129, 0.129, 0.129]], "formation_energy_uncorrected_ev_per_atom": -0.5099, "magnetic_moment_mub_per_cell": 0.00, "total_energy_ev_per_cell": -21.67, "dos_at_fermi_per_ev_atom": 0.000, "sg": "R-3m"}


{"formula": "Cs3KAg2H6", "functional": "PBE", "state": "relaxed", "lattice_angstrom": [[6.704, 0.000, 0.000], [-3.352, 5.806, 0.000], [0.000, 0.000, 7.890]], "species": ["Cs", "Cs", "Cs", "K", "Ag", "Ag", "H", "H", "H", "H", "H", "H"], "fractional_positions": [[0.333, 0.667, 0.711], [0.667, 0.333, 0.289], [0.000, 0.000, 0.000], [0.000, 0.000, 0.500], [0.667, 0.333, 0.729], [0.333, 0.667, 0.271], [0.642, 0.821, 0.277], [0.179, 0.358, 0.277], [0.179, 0.821, 0.277], [0.821, 0.642, 0.723], [0.358, 0.179, 0.723], [0.821, 0.179, 0.723]], "magnetic_moment_mub_per_cell": 0.00, "total_energy_ev_per_cell": -31.10, "dos_at_fermi_per_ev_atom": 0.000, "sg": "P-3m1"}